[1]
Below is an optimized crystal structure of MnAl2Ru, with properties calculated at the PBE level.

Output
Density = 6.261 Mg/m³
Total magnetic moment = 6.80 Bohr magnetons per cell
ΔH_f (0 K) = -0.365 eV per atom

Cell lengths 9.514, 3.143, 4.128 Å; angles 90.00, 115.57, 90.00 degrees
Space group Cm (No. 8)
Unique sites:
Mn  0.000  0.000  0.000 x2
Al  0.013  0.500  0.513 x2
Al  0.247  0.500  0.246 x2
Ru  0.256  0.000  0.754 x2

=====

[2]
Below is an optimized crystal structure of MnAlRu2, with properties calculated at the PBE level.

Output
Density = 8.853 Mg/m³
Total magnetic moment = 0.00 Bohr magnetons per cell
ΔH_f (0 K) = -0.016 eV per atom

Cell lengths 2.7009, 2.7009, 25.3020 Å; angles 90.00, 90.00, 120.00 degrees
Space group R3m (No. 160, hexagonal axes)
Unique sites:
Mn  0.0000  0.0000  0.0000 x3
Al  0.0000  0.0000  0.2517 x3
Ru  0.0000  0.0000  0.5004 x3
Ru  0.0000  0.0000  0.7444 x3

=====

Q: The highest ΔH_f (0 K) belongs to which entry?
A: MnAlRu2

=====

Q: The highest total magnetic moment belongs to which entry?
A: MnAl2Ru

=====

Q: Number 1 is which compound?
A: MnAl2Ru